(1)
VASP calculation (PBE) on a relaxed structure of AlCdBC2.

abc: 3.9549 4.3225 3.9549
angles: 90.00 90.00 90.00
Last column: nearest neighbours and their distance in Å.
Element x y z (fractional)
C  0.0000  0.0000  0.5000  2 Al 1.98
C  0.5000  0.0000  0.0000  2 Al 1.98
B  0.0000  0.5000  0.0000  2 Al 2.16
Al  0.0000  0.0000  0.0000  4 C 1.98, 2 B 2.16
Cd  0.5000  0.5000  0.5000  4 B 2.80, 8 C 2.93

Output
formation enthalpy at 0 K: 2.000 eV/atom
N(E_F): 2.39 states/eV/cell



(2)
VASP calculation (PBE) on a relaxed structure of Mg3Zn2Ag2.

abc: 4.4047 4.8934 6.8280
angles: 104.13 90.00 116.75
Last column: nearest neighbours and their distance in Å.
Element x y z (fractional)
Mg  0.0000  0.0000  0.0000  2 Ag 2.84, 6 Zn 2.86-3.04, 4 Mg 3.13
Mg  0.5874  0.1760  0.7235  4 Zn 2.82-2.91, 5 Ag 2.86-3.10, 3 Mg 3.02-3.13
Mg  0.4126  0.8240  0.2765  4 Zn 2.82-2.91, 5 Ag 2.86-3.10, 3 Mg 3.02-3.13
Zn  0.7071  0.4135  0.1573  3 Ag 2.78-3.04, 7 Mg 2.82-3.04
Zn  0.2929  0.5865  0.8427  3 Ag 2.78-3.04, 7 Mg 2.82-3.04
Ag  0.1383  0.2765  0.4287  3 Zn 2.78-3.04, 3 Ag 2.84-2.93, 6 Mg 2.84-3.10
Ag  0.8617  0.7235  0.5713  3 Zn 2.78-3.04, 3 Ag 2.84-2.93, 6 Mg 2.84-3.10

Output
formation enthalpy at 0 K: -0.121 eV/atom
N(E_F): 1.38 states/eV/cell



(3)
VASP calculation (PBE) on a relaxed structure of Zr3HgAu.

abc: 5.1713 5.1713 5.1713
angles: 90.00 90.00 90.00
Last column: nearest neighbours and their distance in Å.
Element x y z (fractional)
Au  0.0000  0.0000  0.0000  6 Zr 2.59
Hg  0.5000  0.5000  0.5000  12 Zr 3.66
Zr  0.0000  0.5000  0.0000  2 Au 2.59
Zr  0.0000  0.0000  0.5000  2 Au 2.59
Zr  0.5000  0.0000  0.0000  2 Au 2.59

Output
energy above the most stable polymorph in this dataset: 65.44 kJ per mole of atoms
formation enthalpy at 0 K: 0.551 eV/atom
N(E_F): 6.46 states/eV/cell



(4)
VASP calculation (PBE) on a relaxed structure of CsHg3F.

abc: 5.7494 5.7494 5.7494
angles: 90.00 90.00 90.00
Last column: nearest neighbours and their distance in Å.
Element x y z (fractional)
Cs  0.5000  0.5000  0.5000  12 Hg 4.07
Hg  0.0000  0.5000  0.0000  2 F 2.87
Hg  0.0000  0.0000  0.5000  2 F 2.87
Hg  0.5000  0.0000  0.0000  2 F 2.87
F  0.0000  0.0000  0.0000  6 Hg 2.87

Output
energy above the most stable polymorph in this dataset: 0.00 kJ per mole of atoms
N(E_F): 0.00 states/eV/cell



(5)
VASP calculation (PBE) on a relaxed structure of PSe3N.

abc: 4.4030 4.4030 4.4030
angles: 90.00 90.00 90.00
Last column: nearest neighbours and their distance in Å.
Element x y z (fractional)
P  0.5000  0.5000  0.5000  12 Se 3.11
Se  0.0000  0.5000  0.0000  2 N 2.20
Se  0.0000  0.0000  0.5000  2 N 2.20
Se  0.5000  0.0000  0.0000  2 N 2.20
N  0.0000  0.0000  0.0000  6 Se 2.20

Output
energy above the most stable polymorph in this dataset: 0.00 kJ per mole of atoms
N(E_F): 5.04 states/eV/cell



(6)
VASP calculation (PBE) on a relaxed structure of LaSi4OsRu2.

abc: 4.1269 4.1269 9.1573
angles: 76.98 76.98 60.00
Last column: nearest neighbours and their distance in Å.
Element x y z (fractional)
La  0.0000  0.0000  0.0000  6 Si 3.07
Si  0.4062  0.4062  0.7814  1 Os 2.49, 3 Ru 2.51
Si  0.8676  0.8676  0.3972  4 Ru 2.51-2.60, 3 Os 2.55
Si  0.1324  0.1324  0.6028  4 Ru 2.51-2.60, 3 Os 2.55
Si  0.5938  0.5938  0.2186  1 Os 2.49, 3 Ru 2.51
Os  0.5000  0.5000  0.5000  8 Si 2.49-2.55
Ru  0.7695  0.7695  0.6914  7 Si 2.51-2.60
Ru  0.2305  0.2305  0.3086  7 Si 2.51-2.60

Output
total DFT energy (no corrections): -7.64 eV per atom
N(E_F): 2.87 states/eV/cell



(7)
VASP calculation (PBE) on a relaxed structure of PAuC2.

abc: 2.5617 2.5618 12.5816
angles: 86.02 88.70 60.00
Last column: nearest neighbours and their distance in Å.
Element x y z (fractional)
P  0.5202  0.8033  0.4069  6 P 2.56
C  0.3680  0.0828  0.0567  3 C 1.48
C  0.7014  0.4161  0.0567  3 C 1.48
Au  0.5402  0.6912  0.7066  6 Au 2.56

Output
formation enthalpy at 0 K: 0.470 eV/atom
N(E_F): 1.49 states/eV/cell



(8)
VASP calculation (PBE) on a relaxed structure of Er2Tm3Ag3.

abc: 3.6150 5.1879 11.1064
angles: 103.51 99.37 90.00
Last column: nearest neighbours and their distance in Å.
Element x y z (fractional)
Er  0.2687  0.7687  0.5374  2 Ag 3.04, 4 Er 3.26
Er  0.7313  0.2313  0.4626  2 Ag 3.04, 4 Er 3.26
Tm  0.3796  0.3796  0.7592  6 Ag 3.14-3.16, 2 Er 3.51
Tm  0.6204  0.6204  0.2408  6 Ag 3.14-3.16, 2 Er 3.51
Tm  0.5000  0.0000  0.0000  8 Ag 3.07-3.16
Ag  0.8837  0.8837  0.7673  2 Er 3.04, 6 Tm 3.07-3.16
Ag  0.0000  0.5000  0.0000  8 Tm 3.14-3.16
Ag  0.1163  0.1163  0.2327  2 Er 3.04, 6 Tm 3.07-3.16

Output
formation enthalpy at 0 K: -0.231 eV/atom
N(E_F): 6.49 states/eV/cell



(9)
VASP calculation (PBE) on a relaxed structure of LaMo2Au.

abc: 4.7423 4.7423 4.7423
angles: 60.00 60.00 60.00
Last column: nearest neighbours and their distance in Å.
Element x y z (fractional)
Mo  0.2500  0.2500  0.2500  4 Au 2.90, 4 La 2.90
Mo  0.7500  0.7500  0.7500  4 La 2.90, 4 Au 2.90
Au  0.5000  0.5000  0.5000  8 Mo 2.90
La  0.0000  0.0000  0.0000  8 Mo 2.90

Output
energy above the most stable polymorph in this dataset: 53.21 kJ per mole of atoms
formation enthalpy at 0 K: 0.642 eV/atom
N(E_F): 3.93 states/eV/cell



(10)
VASP calculation (PBE) on a relaxed structure of FePdSe3.

abc: 4.6360 4.6360 4.6360
angles: 90.00 90.00 90.00
Last column: nearest neighbours and their distance in Å.
Element x y z (fractional)
Se  0.0000  0.5000  0.0000  2 Fe 2.32
Se  0.0000  0.0000  0.5000  2 Fe 2.32
Se  0.5000  0.0000  0.0000  2 Fe 2.32
Pd  0.5000  0.5000  0.5000  12 Se 3.28
Fe  0.0000  0.0000  0.0000  6 Se 2.32

Output
energy above the most stable polymorph in this dataset: 0.00 kJ per mole of atoms
N(E_F): 9.35 states/eV/cell



(11)
VASP calculation (PBE) on a relaxed structure of CrAs2Pt.

abc: 3.8277 3.8277 6.0198
angles: 71.15 71.15 60.36
Last column: nearest neighbours and their distance in Å.
Element x y z (fractional)
As  0.0028  0.0028  0.9913  3 Pt 2.59, 3 Cr 2.64-2.65
As  0.4972  0.4972  0.5087  3 Pt 2.59, 3 Cr 2.64-2.65
Cr  0.2500  0.2500  0.2500  6 As 2.64-2.65
Pt  0.7500  0.7500  0.7500  6 As 2.59

Output
energy above the most stable polymorph in this dataset: 7.35 kJ per mole of atoms
formation enthalpy at 0 K: -0.004 eV/atom
N(E_F): 1.91 states/eV/cell



(12)
VASP calculation (PBE) on a relaxed structure of KMnCd2.

abc: 5.2335 5.2335 5.2335
angles: 60.00 60.00 60.00
Last column: nearest neighbours and their distance in Å.
Element x y z (fractional)
Cd  0.0000  0.0000  0.0000  4 Cd 3.20, 4 Mn 3.20
Cd  0.2500  0.2500  0.2500  4 Cd 3.20, 4 K 3.20
K  0.5000  0.5000  0.5000  4 Mn 3.20, 4 Cd 3.20
Mn  0.7500  0.7500  0.7500  4 K 3.20, 4 Cd 3.20

Output
energy above the most stable polymorph in this dataset: 21.75 kJ per mole of atoms
formation enthalpy at 0 K: 0.469 eV/atom
N(E_F): 2.28 states/eV/cell



Q: Look up the N(E_F) of the sixth one.
A: 2.87 states/eV/cell



Q: Among the records above, which one has the highest N(E_F)?
A: FePdSe3